[1]
DFT (PBE) results for crystalline KMnCd2Ru at its relaxed geometry.

Structure (CIF):
```
data_KMnCd2Ru
_cell_length_a 5.371
_cell_length_b 5.371
_cell_length_c 4.557
_cell_angle_alpha 90.00
_cell_angle_beta 90.00
_cell_angle_gamma 90.00
_symmetry_space_group_name_H-M 'P 4/m m m'
_symmetry_Int_Tables_number 123
_symmetry_space_group_name_Hall '-P 4 2'
loop_
_atom_site_label
_atom_site_fract_x
_atom_site_fract_y
_atom_site_fract_z
K1 0.000 0.000 0.000
Mn1 0.500 0.500 0.500
Cd1 0.000 0.500 0.000
Ru1 0.000 0.000 0.500
```

Properties
**Calculated volume**: 26.29 A^3/atom
**Energy of formation from the pure elements**: 2.43 eV/atom
**Crystal system**: tetragonal

=====

[2]
DFT (PBE) results for crystalline Tb5Ho2ErMg at its relaxed geometry.

Structure (CIF):
```
data_Tb5Ho2ErMg
_cell_length_a 5.398
_cell_length_b 19.954
_cell_length_c 10.506
_cell_angle_alpha 90.00
_cell_angle_beta 90.00
_cell_angle_gamma 90.00
_symmetry_space_group_name_H-M 'C m c 21'
_symmetry_Int_Tables_number 36
loop_
_symmetry_equiv_pos_as_xyz
'x,y,z'
'-x,-y,z+1/2'
'-x,y,z'
'x,-y,z+1/2'
'x+1/2,y+1/2,z'
'-x+1/2,-y+1/2,z+1/2'
'-x+1/2,y+1/2,z'
'x+1/2,-y+1/2,z+1/2'
loop_
_atom_site_label
_atom_site_fract_x
_atom_site_fract_y
_atom_site_fract_z
Tb1 0.000 0.000 0.000
Tb2 0.000 0.118 0.250
Tb3 0.000 0.210 0.951
Tb4 0.000 0.211 0.550
Tb5 0.000 0.486 0.250
Ho1 0.000 0.386 0.537
Ho2 0.000 0.386 0.963
Er1 0.000 0.295 0.250
Mg1 0.000 0.095 0.750
```

Properties
**Calculated volume**: 31.43 A^3/atom
**Energy of formation from the pure elements**: 0.10 eV/atom
**Crystal system**: orthorhombic

=====

[3]
DFT (PBE) results for crystalline Ac2La3Y6Er at its relaxed geometry.

Structure (CIF):
```
data_Ac2La3Y6Er
_cell_length_a 6.394
_cell_length_b 11.077
_cell_length_c 12.031
_cell_angle_alpha 90.00
_cell_angle_beta 100.20
_cell_angle_gamma 90.00
_symmetry_space_group_name_H-M 'C 1 2/m 1'
_symmetry_Int_Tables_number 12
loop_
_symmetry_equiv_pos_as_xyz
'x,y,z'
'-x,-y,-z'
'-x,y,-z'
'x,-y,z'
'x+1/2,y+1/2,z'
'-x+1/2,-y+1/2,-z'
'-x+1/2,y+1/2,-z'
'x+1/2,-y+1/2,z'
loop_
_atom_site_label
_atom_site_fract_x
_atom_site_fract_y
_atom_site_fract_z
Ac1 0.000 0.166 0.000
La1 0.000 0.000 0.500
La2 0.000 0.333 0.500
Y1 0.247 0.500 0.748
Y2 0.249 0.335 0.252
Er1 0.000 0.500 0.000
```

Properties
**Calculated volume**: 34.94 A^3/atom
**Energy of formation from the pure elements**: 0.02 eV/atom
**Crystal system**: monoclinic

=====

[4]
DFT (PBE) results for crystalline Tb2Dy3Y6Tm at its relaxed geometry.

Structure (CIF):
```
data_Tb2Dy3Y6Tm
_cell_length_a 6.159
_cell_length_b 10.656
_cell_length_c 11.785
_cell_angle_alpha 90.00
_cell_angle_beta 99.98
_cell_angle_gamma 90.00
_symmetry_space_group_name_H-M 'C 1 2/m 1'
_symmetry_Int_Tables_number 12
loop_
_symmetry_equiv_pos_as_xyz
'x,y,z'
'-x,-y,-z'
'-x,y,-z'
'x,-y,z'
'x+1/2,y+1/2,z'
'-x+1/2,-y+1/2,-z'
'-x+1/2,y+1/2,-z'
'x+1/2,-y+1/2,z'
loop_
_atom_site_label
_atom_site_fract_x
_atom_site_fract_y
_atom_site_fract_z
Tb1 0.000 0.167 0.000
Dy1 0.000 0.000 0.500
Dy2 0.000 0.333 0.500
Y1 0.250 0.000 0.250
Y2 0.250 0.166 0.750
Tm1 0.000 0.500 0.000
```

Properties
**Calculated volume**: 31.74 A^3/atom
**Energy of formation from the pure elements**: 0.02 eV/atom
**Crystal system**: monoclinic

=====

[5]
DFT (PBE) results for crystalline Na2CdHg5Pb at its relaxed geometry.

Structure (CIF):
```
data_Na2CdHg5Pb
_cell_length_a 9.139
_cell_length_b 9.139
_cell_length_c 12.184
_cell_angle_alpha 90.00
_cell_angle_beta 90.00
_cell_angle_gamma 90.00
_symmetry_space_group_name_H-M 'I 4/m c m'
_symmetry_Int_Tables_number 140
_symmetry_space_group_name_Hall '-I 4 2c'
loop_
_atom_site_label
_atom_site_fract_x
_atom_site_fract_y
_atom_site_fract_z
Na1 0.116 0.384 0.000
Cd1 0.000 0.500 0.250
Hg1 0.000 0.000 0.000
Hg2 0.195 0.305 0.363
Pb1 0.000 0.000 0.250
```

Properties
**Calculated volume**: 28.27 A^3/atom
**Energy of formation from the pure elements**: -0.05 eV/atom
**Crystal system**: tetragonal

=====

[6]
DFT (PBE) results for crystalline Ba3Ca2Ag3 at its relaxed geometry.

Structure (CIF):
```
data_Ba3Ca2Ag3
_cell_length_a 4.782
_cell_length_b 14.710
_cell_length_c 17.175
_cell_angle_alpha 90.00
_cell_angle_beta 90.00
_cell_angle_gamma 90.00
_symmetry_space_group_name_H-M 'C m c m'
_symmetry_Int_Tables_number 63
_symmetry_space_group_name_Hall '-C 2c 2'
loop_
_atom_site_label
_atom_site_fract_x
_atom_site_fract_y
_atom_site_fract_z
Ba1 0.000 0.057 0.120
Ba2 0.000 0.345 0.250
Ca1 0.000 0.226 0.578
Ag1 0.000 0.331 0.750
Ag2 0.000 0.405 0.034
```

Properties
**Calculated volume**: 37.75 A^3/atom
**Energy of formation from the pure elements**: -0.22 eV/atom
**Crystal system**: orthorhombic

=====

[7]
DFT (PBE) results for crystalline Ag2Au at its relaxed geometry.

Structure (CIF):
```
data_Ag2Au
_cell_length_a 2.878
_cell_length_b 2.878
_cell_length_c 26.906
_cell_angle_alpha 90.00
_cell_angle_beta 90.00
_cell_angle_gamma 90.00
_symmetry_space_group_name_H-M 'I 41/a m d'
_symmetry_Int_Tables_number 141
loop_
_symmetry_equiv_pos_as_xyz
'x,y,z'
'-x,-y,-z'
'-y+1/4,x+3/4,z+1/4'
'y+1/4,-x+3/4,-z+1/4'
'-x+1/2,-y,z+1/2'
'x+1/2,y,-z+1/2'
'y+1/4,-x+1/4,z+3/4'
'-y+1/4,x+1/4,-z+3/4'
'x,-y,-z'
'-x,y,z'
'-y+1/4,-x+1/4,-z+3/4'
'y+1/4,x+1/4,z+3/4'
'-x+1/2,y,-z+1/2'
'x+1/2,-y,z+1/2'
'y+1/4,x+3/4,-z+1/4'
'-y+1/4,-x+3/4,z+1/4'
'x+1/2,y+1/2,z+1/2'
'-x+1/2,-y+1/2,-z+1/2'
'-y+3/4,x+1/4,z+3/4'
'y+3/4,-x+1/4,-z+3/4'
'-x,-y+1/2,z'
'x,y+1/2,-z'
'y+3/4,-x+3/4,z+1/4'
'-y+3/4,x+3/4,-z+1/4'
'x+1/2,-y+1/2,-z+1/2'
'-x+1/2,y+1/2,z+1/2'
'-y+3/4,-x+3/4,-z+1/4'
'y+3/4,x+3/4,z+1/4'
'-x,y+1/2,-z'
'x,-y+1/2,z'
'y+3/4,x+1/4,-z+3/4'
'-y+3/4,-x+1/4,z+3/4'
loop_
_atom_site_label
_atom_site_fract_x
_atom_site_fract_y
_atom_site_fract_z
Ag1 0.000 0.250 0.295
Au1 0.000 0.250 0.875
```

Properties
**Excess energy over the best structure of this formula in the dataset**: 88 meV/atom
**Calculated volume**: 18.57 A^3/atom
**Energy of formation from the pure elements**: 0.05 eV/atom
**Crystal system**: tetragonal

=====

[8]
DFT (PBE) results for crystalline TiCuCl4 at its relaxed geometry.

Structure (CIF):
```
data_TiCuCl4
_cell_length_a 5.785
_cell_length_b 5.785
_cell_length_c 11.332
_cell_angle_alpha 90.00
_cell_angle_beta 90.00
_cell_angle_gamma 90.00
_symmetry_space_group_name_H-M 'P 2 2 2'
_symmetry_Int_Tables_number 16
loop_
_symmetry_equiv_pos_as_xyz
'x,y,z'
'-x,-y,z'
'x,-y,-z'
'-x,y,-z'
loop_
_atom_site_label
_atom_site_fract_x
_atom_site_fract_y
_atom_site_fract_z
Ti1 0.000 0.000 0.000
Ti2 0.000 0.500 0.500
Cu1 0.000 0.000 0.500
Cu2 0.500 0.000 0.000
Cl1 0.220 0.252 0.613
Cl2 0.248 0.220 0.113
```

Properties
**Calculated volume**: 31.60 A^3/atom
**Formation energy (no corrections)**: -1.129 eV per atom
**Crystal system**: orthorhombic

=====

[9]
DFT (PBE) results for crystalline CsAsBr2 at its relaxed geometry.

Structure (CIF):
```
data_CsAsBr2
_cell_length_a 4.4178
_cell_length_b 4.4178
_cell_length_c 30.1825
_cell_angle_alpha 90.00
_cell_angle_beta 90.00
_cell_angle_gamma 120.00
_symmetry_space_group_name_H-M 'R -3 m'
_symmetry_Int_Tables_number 166
_symmetry_space_group_name_Hall '-R 3 2"'
loop_
_atom_site_label
_atom_site_fract_x
_atom_site_fract_y
_atom_site_fract_z
Cs1 0.0000 0.0000 0.0000
As1 0.0000 0.0000 0.5000
Br1 0.0000 0.0000 0.4137
```

Properties
**Excess energy over the best structure of this formula in the dataset**: 78 meV/atom
**Calculated volume**: 42.51 A^3/atom
**Formation energy (no corrections)**: -0.475 eV per atom
**Crystal system**: trigonal

=====

[10]
DFT (PBE) results for crystalline FeRe2SnP at its relaxed geometry.

Structure (CIF):
```
data_FeRe2SnP
_cell_length_a 4.345
_cell_length_b 4.345
_cell_length_c 4.955
_cell_angle_alpha 90.00
_cell_angle_beta 90.00
_cell_angle_gamma 90.00
_symmetry_space_group_name_H-M 'P 4/m m m'
_symmetry_Int_Tables_number 123
_symmetry_space_group_name_Hall '-P 4 2'
loop_
_atom_site_label
_atom_site_fract_x
_atom_site_fract_y
_atom_site_fract_z
Fe1 0.000 0.000 0.000
Re1 0.000 0.500 0.500
Sn1 0.500 0.500 0.000
P1 0.500 0.500 0.500
```

Properties
**Calculated volume**: 18.71 A^3/atom
**Energy of formation from the pure elements**: 1.51 eV/atom
**Crystal system**: tetragonal

=====

[11]
DFT (PBE) results for crystalline Sc4ReSb at its relaxed geometry.

Structure (CIF):
```
data_Sc4ReSb
_cell_length_a 7.915
_cell_length_b 7.915
_cell_length_c 7.915
_cell_angle_alpha 90.00
_cell_angle_beta 90.00
_cell_angle_gamma 90.00
_symmetry_space_group_name_H-M 'F -4 3 m'
_symmetry_Int_Tables_number 216
_symmetry_space_group_name_Hall 'F -4 2 3'
loop_
_atom_site_label
_atom_site_fract_x
_atom_site_fract_y
_atom_site_fract_z
Sc1 0.122 0.122 0.122
Re1 0.250 0.250 0.750
Sb1 0.000 0.000 0.500
```

Properties
**Calculated volume**: 20.66 A^3/atom
**Formation energy (no corrections)**: 0.381 eV per atom
**Crystal system**: cubic

=====

[12]
DFT (PBE) results for crystalline Tb3Al2In3 at its relaxed geometry.

Structure (CIF):
```
data_Tb3Al2In3
_cell_length_a 4.551
_cell_length_b 11.274
_cell_length_c 15.505
_cell_angle_alpha 90.00
_cell_angle_beta 90.00
_cell_angle_gamma 90.00
_symmetry_space_group_name_H-M 'C m c m'
_symmetry_Int_Tables_number 63
_symmetry_space_group_name_Hall '-C 2c 2'
loop_
_atom_site_label
_atom_site_fract_x
_atom_site_fract_y
_atom_site_fract_z
Tb1 0.000 0.073 0.113
Tb2 0.000 0.348 0.250
Al1 0.000 0.215 0.613
In1 0.000 0.374 0.750
In2 0.000 0.375 0.037
```

Properties
**Calculated volume**: 24.86 A^3/atom
**Energy of formation from the pure elements**: -0.43 eV/atom
**Crystal system**: orthorhombic

=====

Which magnetic moment belongs to each record? In order, 0.059, 0.000, 0.000, 0.000, 0.000, 0.000, 0.000, 1.000, 0.000, 0.464, 0.000, 0.000 μB per formula unit.